! PBE La3Pr6Dy2Er, optimized geometry; values from VASP
&SYSTEM
  ibrav = 0, nat = 12, ntyp = 4
/
ATOMIC_SPECIES
Pr 140.91 Pr.upf
La 138.91 La.upf
Dy 162.50 Dy.upf
Er 167.26 Er.upf
CELL_PARAMETERS angstrom
-6.0959 -0.3250 -1.8703
4.5239 -3.0723 -3.2953
-1.0589 -8.5397 8.5730
ATOMIC_POSITIONS crystal
Pr 0.9186 0.5857 0.7567
La 0.5000 0.5000 0.5000
Pr 0.0814 0.4143 0.2433
Pr 0.5857 0.9186 0.7567
La 0.1669 0.8331 0.5000
Pr 0.4143 0.0814 0.2433
Dy 0.3334 0.6666 0.0000
Pr 0.2516 0.2516 0.7564
La 0.8331 0.1669 0.5000
Er 0.0000 0.0000 0.0000
Dy 0.6666 0.3334 0.0000
Pr 0.7484 0.7484 0.2436
! space-group type: C2/m (12)
! DFT total energy: -0.17458 Ha/atom
! energy of formation: 18 meV/atom